Version P
Entry from Alexandria via LeMat-Bulk: a relaxed Er2Tm6Sc crystal (PBE).

Cell: 4.8919 6.0081 27.1074 Å, 148.27 90.00 114.02°
Fractional positions:
Tm 0.4503 0.9005 0.8913
Tm 0.7772 0.5544 0.5554
Tm 0.1028 0.2056 0.2193
Tm 0.2228 0.4456 0.4446
Er 0.6585 0.3169 0.3298
Sc 0.0000 0.0000 0.0000
Er 0.3415 0.6831 0.6702
Tm 0.5497 0.0995 0.1087
Tm 0.8972 0.7944 0.7807

Version Q
Entry from Alexandria via LeMat-Bulk: a relaxed Er2Tm6Sc crystal (PBE).

Cell: 6.9141 9.3340 9.3340 Å, 81.16 72.09 72.09°
Fractional positions:
Tm 0.4811 0.6508 0.3620
Tm 0.7706 0.0079 0.4428
Tm 0.7240 0.9632 0.8218
Tm 0.7294 0.5572 0.9921
Tm 0.7760 0.1782 0.0368
Sc 0.7500 0.8433 0.1567
Tm 0.0189 0.6380 0.3492
Tm 0.2706 0.4428 0.0079
Tm 0.9811 0.3620 0.6508
Tm 0.2294 0.9921 0.5572
Tm 0.2760 0.0368 0.1782
Tm 0.5189 0.3492 0.6380
Er 0.8885 0.3392 0.3046
Tm 0.2240 0.8218 0.9632
Sc 0.2500 0.1567 0.8433
Er 0.1115 0.6608 0.6954
Er 0.3885 0.3046 0.3392
Er 0.6115 0.6954 0.6608

version P (132 meV/atom below the next structure)

Version P
Entry from Alexandria via LeMat-Bulk: a relaxed ErTm8Sc2 crystal (PBE).

Cell: 6.4223 9.8640 9.8640 Å, 38.05 60.69 60.69°
Fractional positions:
Er 0.0000 0.0000 0.0000
Tm 0.2362 0.3508 0.8270
Tm 0.2725 0.4080 0.4080
Sc 0.3877 0.2034 0.2034
Sc 0.6123 0.7966 0.7966
Tm 0.7275 0.5920 0.5920
Tm 0.1781 0.7588 0.7588
Tm 0.8219 0.2412 0.2412
Tm 0.2362 0.8270 0.3508
Tm 0.7638 0.6492 0.1730
Tm 0.7638 0.1730 0.6492

Version Q
Entry from Alexandria via LeMat-Bulk: a relaxed ErTm8Sc2 crystal (PBE).

Cell: 5.2713 8.0613 9.0499 Å, 116.45 106.93 90.00°
Fractional positions:
Tm 0.0000 0.7014 0.0000
Tm 0.6426 0.8484 0.2852
Tm 0.0000 0.2986 0.0000
Tm 0.6426 0.4368 0.2852
Tm 0.3574 0.1516 0.7148
Tm 0.1616 0.1616 0.3232
Sc 0.2017 0.7017 0.4034
Tm 0.8384 0.8384 0.6768
Er 0.5000 0.0000 0.0000
Sc 0.7983 0.2983 0.5966
Tm 0.3574 0.5632 0.7148

version Q (87 meV/atom below the next structure)

Version P
Entry from Alexandria via LeMat-Bulk: a relaxed ErTm6Sc4 crystal (PBE).

Cell: 8.0665 8.0665 8.0665 Å, 83.48 123.83 123.83°
Fractional positions:
Tm 0.5000 0.5000 0.0000
Sc 0.5155 0.4366 0.4366
Tm 0.0000 0.7455 0.4138
Tm 0.3317 0.5862 0.5862
Sc 0.0000 0.5634 0.0788
Tm 0.0000 0.4138 0.7455
Sc 0.4845 0.9212 0.9212
Er 0.0000 0.0000 0.0000
Tm 0.6683 0.2545 0.2545
Sc 0.0000 0.0788 0.5634
Tm 0.5000 0.0000 0.5000

Version Q
Entry from Alexandria via LeMat-Bulk: a relaxed ErTm6Sc4 crystal (PBE).

Cell: 6.2878 6.2878 9.3402 Å, 109.67 109.67 90.00°
Fractional positions:
Tm 0.8647 0.4891 0.3538
Sc 0.6968 0.0476 0.7444
Er 0.5000 0.5000 0.0000
Tm 0.4891 0.8647 0.3538
Tm 0.0000 0.5000 0.0000
Sc 0.9524 0.9524 0.2556
Tm 0.1353 0.1353 0.6462
Sc 0.3032 0.3032 0.2556
Tm 0.5000 0.0000 0.0000
Sc 0.0476 0.6968 0.7444
Tm 0.5109 0.5109 0.6462

version Q (235 meV/atom below the next structure)

Version P
Entry from Alexandria via LeMat-Bulk: a relaxed Er4Tm4Sc crystal (PBE).

Cell: 4.9021 7.7654 7.7654 Å, 84.28 71.60 71.60°
Fractional positions:
Er 0.6649 0.6701 0.0000
Tm 0.0000 0.3316 0.6685
Er 0.6649 0.0000 0.6701
Tm 0.0000 0.6684 0.3315
Tm 0.3315 0.6685 0.6684
Er 0.3351 0.0000 0.3299
Sc 0.0000 0.0000 0.0000
Er 0.3351 0.3299 0.0000
Tm 0.6685 0.3315 0.3316

Version Q
Entry from Alexandria via LeMat-Bulk: a relaxed Er4Tm4Sc crystal (PBE).

Cell: 6.3468 11.3272 8.4891 Å, 144.28 111.95 90.00°
Fractional positions:
Tm 0.9312 0.5000 0.0000
Tm 0.2206 0.3506 0.6516
Tm 0.5690 0.6494 0.3484
Er 0.9521 0.4072 0.2842
Er 0.4171 0.9336 0.3265
Er 0.0906 0.0664 0.6735
Sc 0.0965 0.0000 0.0000
Tm 0.5551 0.0000 0.0000
Er 0.6679 0.5928 0.7158

version P (140 meV/atom below the next structure)

Version P
Entry from Alexandria via LeMat-Bulk: a relaxed Er2Tm8Sc3 crystal (PBE).

Cell: 5.4278 7.4075 10.4102 Å, 110.85 90.00 90.00°
Fractional positions:
Sc 0.5000 0.0000 0.0000
Tm 0.0001 0.6634 0.3269
Er 0.5001 0.7597 0.5194
Sc 0.0000 0.2889 0.0000
Tm 0.5001 0.3905 0.2059
Tm 0.0000 0.1273 0.2546
Tm 0.4999 0.6095 0.7941
Tm 0.4999 0.1846 0.7941
Tm 0.5001 0.8154 0.2059
Tm 0.9999 0.3366 0.6731
Sc 0.0000 0.7111 0.0000
Tm 0.0000 0.8727 0.7454
Er 0.4999 0.2403 0.4806

Version Q
Entry from Alexandria via LeMat-Bulk: a relaxed Er2Tm8Sc3 crystal (PBE).

Cell: 5.5346 6.1419 11.5289 Å, 78.69 100.35 91.39°
Fractional positions:
Er 0.7527 0.6621 0.5066
Tm 0.6405 0.7600 0.1989
Tm 0.1887 0.8954 0.3306
Tm 0.3595 0.2400 0.8011
Tm 0.8824 0.5547 0.8373
Sc 0.0000 0.0000 0.0000
Er 0.2473 0.3379 0.4934
Tm 0.6961 0.2159 0.3485
Tm 0.3039 0.7841 0.6515
Tm 0.8113 0.1046 0.6694
Tm 0.1176 0.4453 0.1627
Sc 0.4347 0.7384 0.9394
Sc 0.5653 0.2616 0.0606

version Q (164 meV/atom below the next structure)

Version P
Entry from Alexandria via LeMat-Bulk: a relaxed Er5Tm4Sc2 crystal (PBE).

Cell: 4.8918 5.9793 17.2755 Å, 80.06 135.04 114.04°
Fractional positions:
Er 0.7785 0.8194 0.5476
Tm 0.9569 0.3640 0.9101
Sc 0.4120 0.7272 0.8194
Tm 0.6753 0.5416 0.3617
Er 0.5000 0.0000 0.0000
Er 0.1281 0.9072 0.2698
Er 0.8719 0.0928 0.7302
Sc 0.5880 0.2728 0.1806
Er 0.2215 0.1806 0.4524
Tm 0.3247 0.4584 0.6383
Tm 0.0431 0.6360 0.0899

Version Q
Entry from Alexandria via LeMat-Bulk: a relaxed Er5Tm4Sc2 crystal (PBE).

Cell: 3.4140 8.8819 12.1339 Å, 111.47 98.09 90.00°
Fractional positions:
Sc 0.7303 0.7303 0.4606
Tm 0.0000 0.6896 0.0000
Tm 0.4011 0.4011 0.8021
Tm 0.5989 0.5989 0.1979
Er 0.1494 0.3505 0.2988
Er 0.8506 0.6495 0.7012
Sc 0.2697 0.2697 0.5394
Er 0.5000 0.0000 0.0000
Tm 0.0000 0.3104 0.0000
Er 0.8506 0.0517 0.7012
Er 0.1494 0.9483 0.2988

version P (221 meV/atom below the next structure)

Version P
Entry from Alexandria via LeMat-Bulk: a relaxed Er9TmSc2 crystal (PBE).

Cell: 4.9026 4.9026 14.6858 Å, 90.00 90.00 90.00°
Fractional positions:
Sc 0.0000 0.0000 0.3347
Er 0.0000 0.5000 0.1701
Er 0.5000 0.5000 0.6648
Er 0.5000 0.0000 0.5000
Tm 0.0000 0.0000 0.0000
Er 0.0000 0.5000 0.5000
Er 0.0000 0.5000 0.8299
Er 0.5000 0.0000 0.1701
Er 0.5000 0.5000 0.3352
Er 0.5000 0.0000 0.8299
Sc 0.0000 0.0000 0.6653
Er 0.5000 0.5000 0.0000

Version Q
Entry from Alexandria via LeMat-Bulk: a relaxed Er9TmSc2 crystal (PBE).

Cell: 3.4253 10.9318 10.9318 Å, 120.00 90.00 90.00°
Fractional positions:
Er 0.5000 0.8214 0.1786
Sc 0.0000 0.6667 0.3333
Er 0.0000 0.5000 0.5000
Er 0.5000 0.3572 0.1786
Er 0.5000 0.1786 0.3572
Tm 0.0000 0.0000 0.0000
Er 0.0000 0.0000 0.5000
Er 0.5000 0.8214 0.6428
Er 0.5000 0.6428 0.8214
Er 0.5000 0.1786 0.8214
Er 0.0000 0.5000 0.0000
Sc 0.0000 0.3333 0.6667

version P (14 meV/atom below the next structure)

Version P
Entry from Alexandria via LeMat-Bulk: a relaxed Er2Tm3Sc2 crystal (PBE).

Cell: 5.1184 3.4113 11.7783 Å, 90.00 77.45 90.00°
Fractional positions:
Tm 0.1556 0.0000 0.6887
Er 0.4249 0.5000 0.1502
Tm 0.0000 0.0000 0.0000
Er 0.5751 0.5000 0.8498
Tm 0.8444 0.0000 0.3113
Sc 0.2836 0.5000 0.4327
Sc 0.7164 0.5000 0.5673

Version Q
Entry from Alexandria via LeMat-Bulk: a relaxed Er2Tm3Sc2 crystal (PBE).

Cell: 6.3166 10.3353 6.2566 Å, 90.00 87.91 90.00°
Fractional positions:
Tm 0.4760 0.9436 0.2538
Sc 0.0256 0.1463 0.5512
Sc 0.5256 0.3537 0.5512
Er 0.7488 0.7430 0.8611
Sc 0.4744 0.6463 0.4488
Er 0.7512 0.2430 0.1389
Sc 0.9744 0.8537 0.4488
Er 0.2488 0.7570 0.8611
Tm 0.0000 0.0000 0.0000
Tm 0.5240 0.0564 0.7462
Tm 0.5000 0.5000 0.0000
Tm 0.9760 0.5564 0.2538
Tm 0.0240 0.4436 0.7462
Er 0.2512 0.2570 0.1389

version P (177 meV/atom below the next structure)